[1]
VASP calculation (PBE) on a relaxed structure of ErTm2Al3CuGe2.

total moment = 0.00 Bohr magnetons per cell
electronic total energy = -0.356 Ry per atom
symmetry = Amm2

Cell lengths 4.1287, 6.9482, 6.9482 Å; angles 120.01, 90.00, 90.00 degrees
Atoms (fractional coordinates):
Al  0.5000  0.2324  0.2324
Al  0.5000  0.0001  0.7676
Al  0.5000  0.7676  0.0001
Ge  0.5000  0.3331  0.6667
Ge  0.5000  0.6667  0.3331
Cu  0.0000  0.0003  0.0003
Tm  0.0000  0.0000  0.4029
Tm  0.0000  0.4029  0.0000
Er  0.0000  0.5969  0.5969

---

[2]
VASP calculation (PBE) on a relaxed structure of Na6AgPt.

total moment = 0.02 Bohr magnetons per cell
electronic total energy = -0.155 Ry per atom
symmetry = P4/mmm

Cell lengths 4.9911, 4.9911, 7.0558 Å; angles 90.00, 90.00, 90.00 degrees
Atoms (fractional coordinates):
Na  0.5000  0.0000  0.7376
Na  0.5000  0.5000  0.0000
Na  0.5000  0.0000  0.2624
Na  0.0000  0.0000  0.5000
Na  0.0000  0.5000  0.7376
Na  0.0000  0.5000  0.2624
Ag  0.0000  0.0000  0.0000
Pt  0.5000  0.5000  0.5000

---

[3]
VASP calculation (PBE) on a relaxed structure of Hf3CuN5.

total moment = 0.00 Bohr magnetons per cell
electronic total energy = -0.623 Ry per atom
symmetry = P6/mmm

Cell lengths 5.8042, 5.8042, 4.1208 Å; angles 90.00, 90.00, 120.00 degrees
Atoms (fractional coordinates):
N  0.6667  0.3333  0.8296
N  0.3333  0.6667  0.8296
N  0.3333  0.6667  0.1704
N  0.6667  0.3333  0.1704
N  0.0000  0.0000  0.5000
Hf  0.5000  0.5000  0.5000
Hf  0.0000  0.5000  0.5000
Hf  0.5000  0.0000  0.5000
Cu  0.0000  0.0000  0.0000

---

[4]
VASP calculation (PBE) on a relaxed structure of LiNbReSb.

offset from the most stable computed form = 569 meV/atom
total moment = 0.29 Bohr magnetons per cell
electronic total energy = -0.494 Ry per atom
symmetry = F-43m

Cell lengths 4.5224, 4.5224, 4.5224 Å; angles 60.00, 60.00, 60.00 degrees
Atoms (fractional coordinates):
Nb  0.0000  0.0000  0.0000
Li  0.7500  0.7500  0.7500
Re  0.5000  0.5000  0.5000
Sb  0.2500  0.2500  0.2500

---

[5]
VASP calculation (PBE) on a relaxed structure of CoTcBPd.

offset from the most stable computed form = 0 meV/atom
total moment = 0.01 Bohr magnetons per cell
electronic total energy = -0.502 Ry per atom
symmetry = F-43m

Cell lengths 4.0650, 4.0650, 4.0650 Å; angles 60.00, 60.00, 60.00 degrees
Atoms (fractional coordinates):
Pd  0.5000  0.5000  0.5000
B  0.0000  0.0000  0.0000
Co  0.7500  0.7500  0.7500
Tc  0.2500  0.2500  0.2500

---

[6]
VASP calculation (PBE) on a relaxed structure of TaBeCuPd.

offset from the most stable computed form = 9 meV/atom
total moment = 0.00 Bohr magnetons per cell
electronic total energy = -0.454 Ry per atom
symmetry = F-43m

Cell lengths 4.2133, 4.2133, 4.2133 Å; angles 60.00, 60.00, 60.00 degrees
Atoms (fractional coordinates):
Pd  0.5000  0.5000  0.5000
Ta  0.0000  0.0000  0.0000
Cu  0.7500  0.7500  0.7500
Be  0.2500  0.2500  0.2500